# Ba2Co2BiO6

Ba2Co2BiO6 after structural relaxation (PBE with a Hubbard U, the Alexandria database).

Geometry as POSCAR:
```
Ba2Co2BiO6
1.0
3.060 1.767 5.953
-3.060 1.767 5.953
0.000 -3.533 5.953
Ba Co Bi O
2 2 1 6
Cartesian
0.000 0.000 3.790 Ba
0.000 0.000 14.070 Ba
0.000 0.000 7.509 Co
0.000 0.000 10.351 Co
0.000 0.000 0.000 Bi
-1.566 -0.904 10.308 O
0.000 -1.809 7.553 O
-1.566 0.904 7.553 O
1.566 -0.904 10.308 O
0.000 1.809 10.308 O
1.566 0.904 7.553 O
```

Values from the calculation:
total moment	7.0	μB/cell
energy	-5.901	eV/atom
symmetry	R-3m